Material: YErPuO6
Method: DFT, PBE-GGA
State: optimized geometry

abc: 5.6905 5.6905 9.4736
angles: 90.00 90.00 120.00
Last column: magnetic moment on the atom in μB.
Atoms (fractional coordinates):
Y 0.0000 0.0000 0.0000  0.00
Y 0.0000 0.0000 0.5000  0.00
Er 0.3333 0.6667 0.2500  0.00
Er 0.6667 0.3333 0.7500  0.00
Pu 0.6667 0.3333 0.2500  2.46
Pu 0.3333 0.6667 0.7500  2.46
O 0.6667 0.6437 0.1341  -0.07
O 0.9770 0.3333 0.1341  -0.07
O 0.3333 0.9770 0.6341  -0.07
O 0.0230 0.6667 0.8659  -0.07
O 0.3563 0.3333 0.3659  -0.07
O 0.9770 0.6437 0.3659  -0.07
O 0.6437 0.9770 0.8659  -0.07
O 0.6667 0.0230 0.3659  -0.07
O 0.0230 0.3563 0.6341  -0.07
O 0.3563 0.0230 0.1341  -0.07
O 0.6437 0.6667 0.6341  -0.07
O 0.3333 0.3563 0.8659  -0.07

Calculated values
Crystal system: trigonal
Size of the total moment, μB/f.u.: 2.00
ΔE_f (raw), eV per atom: -3.07